A relaxed La2NdDy5Tm crystal. Source: Alexandria via LeMat-Bulk, functional GGA-PBE.

POSCAR file:
```
La2NdDy5Tm
1.0
-0.0687 7.8284 3.7614
-4.2956 -3.2999 6.7893
9.0646 -3.9114 -1.7214
La Nd Dy Tm
4 2 10 2
direct
0.1177 0.3823 0.0000
0.6177 0.1177 0.0000
0.3823 0.8823 0.0000
0.8823 0.6177 0.0000
0.2500 0.2500 0.5000
0.7500 0.7500 0.5000
0.9254 0.4254 0.2827
0.6427 0.1427 0.7173
0.0746 0.5746 0.7173
0.1427 0.0746 0.7173
0.5746 0.6427 0.7173
0.8573 0.9254 0.2827
0.4254 0.3573 0.2827
0.3573 0.8573 0.2827
0.5000 0.5000 0.0000
0.0000 0.0000 0.0000
0.2500 0.7500 0.5000
0.7500 0.2500 0.5000
```

- ΔH_f (0 K) (meV/atom) = 259
- volume (Å³/atom) = 33.188
- total DFT energy (no corrections) (eV/atom) = -4.419
- SG = No. 140